[1]
Entry from Alexandria: crystalline Na3PrSc2Te6 at its relaxed geometry (PBE).

a = 7.552 Å, b = 7.552 Å, c = 7.958 Å
α = 99.17°, β = 99.17°, γ = 120.05°
Fractional positions:
1 Na 0.000 0.000 0.000
2 Na 0.341 0.659 0.000
3 Na 0.659 0.341 0.000
4 Pr 0.500 0.500 0.500
5 Sc 0.168 0.832 0.500
6 Sc 0.832 0.168 0.500
7 Te 0.069 0.424 0.273
8 Te 0.221 0.221 0.726
9 Te 0.424 0.069 0.273
10 Te 0.576 0.931 0.727
11 Te 0.779 0.779 0.274
12 Te 0.931 0.576 0.727

Computed properties:
* formation energy without anion corrections: -14.7 eV per formula unit

***

[2]
Entry from Alexandria: crystalline CaDy2Sn at its relaxed geometry (PBE).

a = 12.408 Å, b = 12.408 Å, c = 12.408 Å
α = 16.47°, β = 16.47°, γ = 16.47°
Fractional positions:
1 Ca 0.000 0.000 0.000
2 Dy 0.416 0.416 0.416
3 Dy 0.584 0.584 0.584
4 Sn 0.500 0.500 0.500

Computed properties:
* energy of formation from the pure elements: 0.13 eV/atom

***

[3]
Entry from Alexandria: crystalline AcLaYHo at its relaxed geometry (PBE).

a = 5.904 Å, b = 5.904 Å, c = 5.904 Å
α = 60.00°, β = 60.00°, γ = 60.00°
Fractional positions:
1 Ac 0.000 0.000 0.000
2 La 0.500 0.500 0.500
3 Y 0.250 0.250 0.250
4 Ho 0.750 0.750 0.750

Computed properties:
* energy of formation from the pure elements: 0.09 eV/atom

***

[4]
Entry from Alexandria: crystalline GdMgN3 at its relaxed geometry (PBE).

a = 3.608 Å, b = 6.102 Å, c = 7.221 Å
α = 92.24°, β = 90.05°, γ = 107.17°
Fractional positions:
1 Gd 0.216 0.432 0.192
2 Gd 0.784 0.568 0.808
3 Mg 0.488 0.975 0.188
4 Mg 0.512 0.025 0.812
5 N 0.361 0.722 0.977
6 N 0.381 0.764 0.416
7 N 0.388 0.777 0.586
8 N 0.612 0.223 0.414
9 N 0.619 0.236 0.584
10 N 0.639 0.278 0.023

Computed properties:
* formation energy without anion corrections: -2.9 eV per formula unit

***

[5]
Entry from Alexandria: crystalline RbSn2S3 at its relaxed geometry (PBE).

a = 3.810 Å, b = 11.408 Å, c = 8.000 Å
α = 90.00°, β = 90.00°, γ = 90.00°
Fractional positions:
1 Rb 0.000 0.138 0.000
2 Rb 0.000 0.862 0.500
3 Sn 0.000 0.221 0.503
4 Sn 0.000 0.779 0.003
5 Sn 0.500 0.481 0.064
6 Sn 0.500 0.519 0.564
7 S 0.000 0.393 0.717
8 S 0.000 0.607 0.217
9 S 0.500 0.095 0.643
10 S 0.500 0.305 0.276
11 S 0.500 0.695 0.776
12 S 0.500 0.905 0.143

Computed properties:
* formation energy without anion corrections: -3.5 eV per formula unit

***

[6]
Entry from Alexandria: crystalline Tl2OsPbO8 at its relaxed geometry (PBE).

a = 5.028 Å, b = 6.844 Å, c = 5.037 Å
α = 90.00°, β = 91.19°, γ = 90.00°
Fractional positions:
1 Tl 0.000 0.247 0.000
2 Tl 0.000 0.753 0.000
3 Os 0.500 0.000 0.500
4 Pb 0.500 0.500 0.500
5 O 0.196 0.500 0.193
6 O 0.232 0.000 0.230
7 O 0.321 0.211 0.676
8 O 0.321 0.789 0.676
9 O 0.679 0.211 0.324
10 O 0.679 0.789 0.324
11 O 0.768 0.000 0.770
12 O 0.804 0.500 0.807

Computed properties:
* formation energy without anion corrections: -9.4 eV per formula unit

***

Computed volume, in the same sequence as the records: 372; 134; 145; 76; 174; 173 Å³/f.u..